# AlCo2Br

A relaxed structure of AlCo2Br (PBE, Alexandria via LeMat-Bulk).

Calculated values
Final energy   -4.503 eV/atom
E_form (uncorrected)   0.40 eV/atom
Magnetic moment   0.45 μB/atom
Distance to the lowest polymorph of the same formula   0.280 eV/atom

abc: 9.3752 3.0396 4.0891
angles: 90.00 103.41 90.00
With the nearest neighbours (Å) after each atom.
Space group Cm (No. 8)
One atom of each set of equivalent atoms:
Al  0.0000  0.0000  0.0000 x2  7 Co 2.51-2.72
Co  0.0222  0.5000  0.5272 x2  1 Br 2.34, 4 Al 2.51-2.61
Co  0.2736  0.0000  0.8822 x2  4 Br 2.52-2.59, 3 Al 2.56-2.72
Br  0.2496  0.5000  0.3807 x2  5 Co 2.34-2.59



# AlCoBr2

A relaxed structure of AlCoBr2 (PBE, Alexandria via LeMat-Bulk).

Calculated values
Final energy   -3.225 eV/atom
E_form (uncorrected)   0.32 eV/atom
Magnetic moment   0.50 μB/atom
Distance to the lowest polymorph of the same formula   0.586 eV/atom

abc: 4.3547 3.7589 5.7070
angles: 90.00 90.18 90.00
With the nearest neighbours (Å) after each atom.
Space group P2/m (No. 10)
One atom of each set of equivalent atoms:
Al  0.0000  0.0000  0.0000 x1  6 Br 2.85-2.88
Co  0.5000  0.5000  0.5000 x1  6 Br 2.85-2.88
Br  0.0000  0.0000  0.5000 x1  2 Al 2.85, 4 Co 2.88
Br  0.5000  0.5000  0.0000 x1  2 Co 2.85, 4 Al 2.88



# AlCoBr2

A relaxed structure of AlCoBr2 (PBE, Alexandria via LeMat-Bulk).

Calculated values
Final energy   -3.173 eV/atom
E_form (uncorrected)   0.38 eV/atom
Magnetic moment   0.52 μB/atom
Distance to the lowest polymorph of the same formula   0.638 eV/atom

abc: 3.3133 3.3133 7.9582
angles: 90.00 90.00 90.00
With the nearest neighbours (Å) after each atom.
Space group P4/mmm (No. 123)
One atom of each set of equivalent atoms:
Al  0.0000  0.0000  0.0000 x1  4 Al 3.31, 8 Br 3.34
Co  0.0000  0.0000  0.5000 x1  8 Br 2.84
Br  0.5000  0.5000  0.2987 x2  4 Co 2.84



# AlCo2Br

A relaxed structure of AlCo2Br (PBE, Alexandria via LeMat-Bulk).

Calculated values
Final energy   -4.465 eV/atom
E_form (uncorrected)   0.44 eV/atom
Magnetic moment   0.50 μB/atom
Distance to the lowest polymorph of the same formula   0.318 eV/atom

abc: 6.0253 6.0364 3.0373
angles: 90.00 90.00 90.00
With the nearest neighbours (Å) after each atom.
Space group Cmmm (No. 65)
One atom of each set of equivalent atoms:
Al  0.0000  0.0000  0.0000 x2  8 Co 2.62
Co  0.2500  0.2500  0.5000 x4  4 Br 2.62, 4 Al 2.62
Br  0.0000  0.5000  0.0000 x2  8 Co 2.62



# AlCo2Br

A relaxed structure of AlCo2Br (PBE, Alexandria via LeMat-Bulk).

Calculated values
Final energy   -4.259 eV/atom
E_form (uncorrected)   0.65 eV/atom
Magnetic moment   0.50 μB/atom
Distance to the lowest polymorph of the same formula   0.523 eV/atom

abc: 5.5085 5.5085 10.3754
angles: 90.00 90.00 90.00
With the nearest neighbours (Å) after each atom.
Space group I-42d (No. 122)
One atom of each set of equivalent atoms:
Al  0.0000  0.0000  0.0000 x4  4 Co 2.36
Co  0.2445  0.2500  0.6250 x8  2 Br 2.32, 2 Al 2.36
Br  0.0000  0.0000  0.5000 x4  4 Co 2.32



# Al4CoBr

A relaxed structure of Al4CoBr (PBE, Alexandria via LeMat-Bulk).

Calculated values
Final energy   -3.492 eV/atom
E_form (uncorrected)   0.47 eV/atom
Magnetic moment   0.22 μB/atom

abc: 7.5801 7.5801 7.5801
angles: 90.00 90.00 90.00
With the nearest neighbours (Å) after each atom.
Space group F-43m (No. 216)
One atom of each set of equivalent atoms:
Al  0.1236  0.1236  0.3764 x16  6 Al 2.65-2.71
Co  0.2500  0.2500  0.7500 x4  12 Al 3.14, 4 Br 3.28
Br  0.0000  0.0000  0.0000 x4  12 Al 3.15, 4 Co 3.28



# AlCoHBr2

A relaxed structure of AlCoHBr2 (PBE, Alexandria via LeMat-Bulk).

Calculated values
Final energy   -3.071 eV/atom
Magnetic moment   0.41 μB/atom

abc: 5.3687 5.3687 3.3086
angles: 90.00 90.00 90.00
With the nearest neighbours (Å) after each atom.
Space group P4/mmm (No. 123)
One atom of each set of equivalent atoms:
Al  0.0000  0.0000  0.0000 x1  8 Br 3.15, 2 Al 3.31
Co  0.5000  0.5000  0.0000 x1  2 H 1.65
H  0.5000  0.5000  0.5000 x1  2 Co 1.65
Br  0.0000  0.5000  0.5000 x2  2 H 2.68



# La2AlCoBr

A relaxed structure of La2AlCoBr (PBE, Alexandria via LeMat-Bulk).

Calculated values
Final energy   -4.564 eV/atom
E_form (uncorrected)   -0.09 eV/atom
Magnetic moment   0.00 μB/atom

abc: 5.4286 5.4286 4.5531
angles: 90.00 90.00 90.00
With the nearest neighbours (Å) after each atom.
Space group P4/mmm (No. 123)
One atom of each set of equivalent atoms:
La  0.0000  0.5000  0.0000 x2  2 Co 2.71
Al  0.0000  0.0000  0.5000 x1  8 La 3.54, 4 Br 3.84
Co  0.5000  0.5000  0.0000 x1  2 Br 2.28
Br  0.5000  0.5000  0.5000 x1  2 Co 2.28



# Nd6AlCo2Br3

A relaxed structure of Nd6AlCo2Br3 (PBE, Alexandria via LeMat-Bulk).

Calculated values
Final energy   -5.001 eV/atom
E_form (uncorrected)   -0.70 eV/atom
Magnetic moment   0.00 μB/atom

abc: 19.6672 4.0041 9.2431
angles: 90.00 109.37 90.00
With the nearest neighbours (Å) after each atom.
Space group C2/m (No. 12)
One atom of each set of equivalent atoms:
Nd  0.0261  0.0000  0.2592 x4  1 Co 2.70
Nd  0.1645  0.5000  0.1352 x4  2 Co 2.76, 1 Al 3.06
Nd  0.1827  0.5000  0.5619 x4  3 Co 2.71-2.79
Al  0.0000  0.5000  0.0000 x2  6 Nd 3.03-3.06
Co  0.1713  0.0000  0.3456 x4  6 Nd 2.70-2.79
Br  0.0000  0.5000  0.5000 x2  6 Nd 3.16-3.45
Br  0.1641  0.0000  0.8402 x4  6 Nd 3.30-3.54



# Pm6AlCo2Br3

A relaxed structure of Pm6AlCo2Br3 (PBE, Alexandria via LeMat-Bulk).

Calculated values
Final energy   -4.997 eV/atom
E_form (uncorrected)   -0.71 eV/atom
Magnetic moment   0.00 μB/atom

abc: 19.5905 3.9682 9.1713
angles: 90.00 109.26 90.00
With the nearest neighbours (Å) after each atom.
Space group C2/m (No. 12)
One atom of each set of equivalent atoms:
Pm  0.0274  0.0000  0.2605 x4  1 Co 2.67
Pm  0.1644  0.5000  0.1364 x4  2 Co 2.74, 1 Al 3.05
Pm  0.1829  0.5000  0.5631 x4  3 Co 2.69-2.76
Al  0.0000  0.5000  0.0000 x2  6 Pm 3.01-3.05
Co  0.1716  0.0000  0.3470 x4  6 Pm 2.67-2.76
Br  0.0000  0.5000  0.5000 x2  6 Pm 3.13-3.44
Br  0.1649  0.0000  0.8408 x4  6 Pm 3.28-3.57



# Pr6AlCo2Br3

A relaxed structure of Pr6AlCo2Br3 (PBE, Alexandria via LeMat-Bulk).

Calculated values
Final energy   -5.003 eV/atom
E_form (uncorrected)   -0.70 eV/atom
Magnetic moment   0.00 μB/atom

abc: 19.7631 4.0407 9.3172
angles: 90.00 109.48 90.00
With the nearest neighbours (Å) after each atom.
Space group C2/m (No. 12)
One atom of each set of equivalent atoms:
Pr  0.0248  0.0000  0.2581 x4  1 Co 2.73, 2 Al 3.05
Pr  0.1647  0.5000  0.1339 x4  2 Co 2.79, 1 Al 3.07
Pr  0.1824  0.5000  0.5609 x4  3 Co 2.73-2.81
Al  0.0000  0.5000  0.0000 x2  6 Pr 3.05-3.07
Co  0.1710  0.0000  0.3444 x4  6 Pr 2.73-2.81
Br  0.0000  0.5000  0.5000 x2  6 Pr 3.18-3.46
Br  0.1635  0.0000  0.8396 x4  6 Pr 3.32-3.52



# AlCoPt2Br

A relaxed structure of AlCoPt2Br (PBE, Alexandria via LeMat-Bulk).

Calculated values
Final energy   -3.479 eV/atom
E_form (uncorrected)   1.44 eV/atom
Magnetic moment   0.37 μB/atom

abc: 4.7653 4.7653 4.8406
angles: 90.00 90.00 90.00
With the nearest neighbours (Å) after each atom.
Space group P4/mmm (No. 123)
One atom of each set of equivalent atoms:
Al  0.0000  0.0000  0.0000 x1  2 Br 2.42
Co  0.5000  0.5000  0.0000 x1  4 Al 3.37, 8 Pt 3.40
Pt  0.0000  0.5000  0.5000 x2  2 Br 2.38
Br  0.0000  0.0000  0.5000 x1  4 Pt 2.38, 2 Al 2.42



# Rb2AlCoBr6

A relaxed structure of Rb2AlCoBr6 (PBE, Alexandria via LeMat-Bulk).

Calculated values
Final energy   -3.298 eV/atom
E_form (uncorrected)   -1.02 eV/atom
Magnetic moment   0.23 μB/atom

abc: 10.5197 10.5197 10.5197
angles: 90.00 90.00 90.00
With the nearest neighbours (Å) after each atom.
Space group Fm-3m (No. 225)
One atom of each set of equivalent atoms:
Rb  0.2500  0.2500  0.2500 x8  12 Br 3.72
Al  0.0000  0.0000  0.0000 x4  6 Br 2.58
Co  0.0000  0.0000  0.5000 x4  6 Br 2.68
Br  0.0000  0.0000  0.2450 x24  1 Al 2.58, 1 Co 2.68



# Al2CoSBr

A relaxed structure of Al2CoSBr (PBE, Alexandria via LeMat-Bulk).

Calculated values
Final energy   -3.755 eV/atom
E_form (uncorrected)   0.32 eV/atom
Magnetic moment   0.24 μB/atom

abc: 5.2388 5.2388 4.0544
angles: 90.00 90.00 90.00
With the nearest neighbours (Å) after each atom.
Space group P4/mmm (No. 123)
One atom of each set of equivalent atoms:
Al  0.0000  0.5000  0.0000 x2  2 S 2.62
Co  0.0000  0.0000  0.5000 x1  2 S 2.03
S  0.0000  0.0000  0.0000 x1  2 Co 2.03
Br  0.5000  0.5000  0.5000 x1  8 Al 3.31, 4 Co 3.70



# AlCoSeBr2

A relaxed structure of AlCoSeBr2 (PBE, Alexandria via LeMat-Bulk).

Calculated values
Final energy   -3.247 eV/atom
E_form (uncorrected)   0.29 eV/atom
Magnetic moment   0.47 μB/atom
Distance to the lowest polymorph of the same formula   0.178 eV/atom

abc: 4.9652 4.9652 5.1218
angles: 90.00 90.00 90.00
With the nearest neighbours (Å) after each atom.
Space group P4/mmm (No. 123)
One atom of each set of equivalent atoms:
Al  0.0000  0.0000  0.0000 x1  4 Br 2.48, 2 Se 2.56
Co  0.5000  0.5000  0.5000 x1  4 Se 3.51, 8 Br 3.57
Se  0.0000  0.0000  0.5000 x1  2 Al 2.56
Br  0.0000  0.5000  0.0000 x2  2 Al 2.48



# AlCoSeBr2

A relaxed structure of AlCoSeBr2 (PBE, Alexandria via LeMat-Bulk).

Calculated values
Final energy   -3.425 eV/atom
E_form (uncorrected)   0.11 eV/atom
Magnetic moment   0.35 μB/atom
Distance to the lowest polymorph of the same formula   0.000 eV/atom

abc: 5.1298 5.1298 4.5832
angles: 90.00 90.00 90.00
With the nearest neighbours (Å) after each atom.
Space group P4/mmm (No. 123)
One atom of each set of equivalent atoms:
Al  0.0000  0.0000  0.0000 x1  8 Br 3.44, 4 Se 3.63
Co  0.5000  0.5000  0.5000 x1  2 Se 2.29, 4 Br 2.56
Se  0.5000  0.5000  0.0000 x1  2 Co 2.29
Br  0.0000  0.5000  0.5000 x2  2 Co 2.56



# Sm6AlCo2Br3

A relaxed structure of Sm6AlCo2Br3 (PBE, Alexandria via LeMat-Bulk).

Calculated values
Final energy   -4.979 eV/atom
E_form (uncorrected)   -0.70 eV/atom
Magnetic moment   0.00 μB/atom

abc: 19.5807 3.9404 9.1218
angles: 90.00 109.13 90.00
With the nearest neighbours (Å) after each atom.
Space group C2/m (No. 12)
One atom of each set of equivalent atoms:
Sm  0.0292  0.0000  0.2619 x4  1 Co 2.65
Sm  0.1642  0.5000  0.1375 x4  2 Co 2.72, 1 Al 3.04
Sm  0.1831  0.5000  0.5643 x4  3 Co 2.68-2.74
Al  0.0000  0.5000  0.0000 x2  6 Sm 3.00-3.04
Co  0.1721  0.0000  0.3483 x4  6 Sm 2.65-2.74
Br  0.0000  0.5000  0.5000 x2  6 Sm 3.12-3.44
Br  0.1660  0.0000  0.8417 x4  6 Sm 3.27-3.62



# YAl2CoBr

A relaxed structure of YAl2CoBr (PBE, Alexandria via LeMat-Bulk).

Calculated values
Final energy   -3.493 eV/atom
E_form (uncorrected)   1.05 eV/atom
Magnetic moment   0.50 μB/atom

abc: 5.8180 5.8180 5.3647
angles: 90.00 90.00 90.00
With the nearest neighbours (Å) after each atom.
Space group P4/mmm (No. 123)
One atom of each set of equivalent atoms:
Y  0.0000  0.0000  0.0000 x1  2 Br 2.68, 4 Al 2.91
Al  0.0000  0.5000  0.0000 x2  2 Y 2.91
Co  0.5000  0.5000  0.5000 x1  8 Al 3.96, 4 Br 4.11
Br  0.0000  0.0000  0.5000 x1  2 Y 2.68



# YAlCoBr2

A relaxed structure of YAlCoBr2 (PBE, Alexandria via LeMat-Bulk).

Calculated values
Final energy   -3.616 eV/atom
E_form (uncorrected)   0.52 eV/atom
Magnetic moment   0.28 μB/atom

abc: 4.9440 4.9440 6.1872
angles: 90.00 90.00 90.00
With the nearest neighbours (Å) after each atom.
Space group P4/mmm (No. 123)
One atom of each set of equivalent atoms:
Y  0.0000  0.0000  0.0000 x1  2 Al 3.09
Al  0.0000  0.0000  0.5000 x1  4 Br 2.47
Co  0.5000  0.5000  0.0000 x1  4 Y 3.50
Br  0.0000  0.5000  0.5000 x2  2 Al 2.47



# AlCrBr3

A relaxed structure of AlCrBr3 (PBE, Alexandria via LeMat-Bulk).

Calculated values
Final energy   -3.754 eV/atom
E_form (uncorrected)   -0.08 eV/atom
Magnetic moment   1.05 μB/atom
Distance to the lowest polymorph of the same formula   0.263 eV/atom

abc: 5.1923 5.1923 5.1923
angles: 90.00 90.00 90.00
With the nearest neighbours (Å) after each atom.
Space group Pm-3m (No. 221)
One atom of each set of equivalent atoms:
Al  0.0000  0.0000  0.0000 x1  6 Br 2.60
Cr  0.5000  0.5000  0.5000 x1  12 Br 3.67
Br  0.0000  0.0000  0.5000 x3  2 Al 2.60